# 1
First-principles (PBE) data for a geometry-optimized Ag2TeW structure, as listed in the Alexandria database.

a = 5.9138 Å, b = 5.9138 Å, c = 4.6073 Å
α = 66.94°, β = 66.94°, γ = 31.26°
Fractional coordinates of all 4 atoms:
Ag  0.9914  0.9914  0.0086
Ag  0.5086  0.5086  0.4914
Te  0.7500  0.7500  0.7500
W  0.2500  0.2500  0.2500

M_tot = 0.0 μB per formula unit
E_form (uncorrected) = 66.5 kJ per mole of atoms
SG = C2/m


# 2
First-principles (PBE) data for a geometry-optimized Ag2TeW structure, as listed in the Alexandria database.

a = 7.8855 Å, b = 7.8855 Å, c = 6.1826 Å
α = 50.38°, β = 50.38°, γ = 90.00°
Each line ends with the local moment (μB).
Fractional coordinates of all 8 atoms:
Ag  0.1157  0.6250  0.2500  0.00
Ag  0.3750  0.3657  0.7500  0.00
Ag  0.6343  0.1250  0.2500  0.00
Ag  0.8750  0.8843  0.7500  0.00
Te  0.5000  0.5000  0.0000  0.00
Te  0.2500  0.7500  0.5000  0.00
W  0.0000  0.0000  0.0000  0.26
W  0.7500  0.2500  0.5000  0.26

M_tot = 0.3 μB per formula unit
E_form (uncorrected) = 89.7 kJ per mole of atoms
SG = I-42d


# 3
First-principles (PBE) data for a geometry-optimized Ag2TeW structure, as listed in the Alexandria database.

a = 5.6930 Å, b = 5.6930 Å, c = 5.6930 Å
α = 139.33°, β = 139.33°, γ = 58.86°
Each line ends with the local moment (μB).
Fractional coordinates of all 4 atoms:
W  0.7500  0.2500  0.5000  1.05
Te  0.2500  0.7500  0.5000  -0.01
Ag  0.0000  0.0000  0.0000  0.01
Ag  0.5000  0.5000  0.0000  0.01

M_tot = 1.3 μB per formula unit
E_form (uncorrected) = 82.7 kJ per mole of atoms
SG = I4/mmm


Number 1: final energy -4.760 eV per atom. Number 2: final energy -4.520 eV per atom. Number 3: final energy -4.592 eV per atom.